No. 1
! ZnC8 (GGA-PBE, optimized geometry); values from VASP
! SG	Fddd, No. 70
! total energy	-8.20	eV per atom
! calculated volume	249.7	Å³ per cell
&SYSTEM
  ibrav = 0, nat = 18, ntyp = 2
/
ATOMIC_SPECIES
C 12.01 C.upf
Zn 65.41 Zn.upf
CELL_PARAMETERS angstrom
0.000 4.266 11.889
2.462 0.000 11.889
2.462 4.266 0.000
ATOMIC_POSITIONS crystal
C 0.292 0.958 0.042
C 0.792 0.458 0.042
C 0.458 0.792 0.208
C 0.958 0.292 0.208
C 0.542 0.208 0.292
C 0.042 0.708 0.292
C 0.208 0.542 0.458
C 0.708 0.042 0.458
C 0.292 0.958 0.542
C 0.792 0.458 0.542
C 0.458 0.792 0.708
C 0.958 0.292 0.708
C 0.542 0.208 0.792
C 0.042 0.708 0.792
C 0.208 0.542 0.958
C 0.708 0.042 0.958
Zn 0.000 0.000 0.000
Zn 0.250 0.250 0.250

No. 2
! Zn4C3 (GGA-PBE, optimized geometry); values from VASP
! SG	R-3m, No. 166
! total energy	-3.32	eV per atom
! calculated volume	82.6	Å³ per cell
&SYSTEM
  ibrav = 0, nat = 7, ntyp = 2
/
ATOMIC_SPECIES
C 12.01 C.upf
Zn 65.41 Zn.upf
CELL_PARAMETERS angstrom
1.640 0.947 8.869
-1.640 0.947 8.869
0.000 -1.894 8.869
ATOMIC_POSITIONS crystal
C 0.426 0.426 0.426
C 0.570 0.570 0.570
C 0.998 0.998 0.998
Zn 0.121 0.121 0.121
Zn 0.287 0.287 0.287
Zn 0.708 0.708 0.708
Zn 0.875 0.875 0.875

No. 3
! Zn2C (GGA-PBE, optimized geometry); values from VASP
! SG	Fd-3m, No. 227
! total energy	-2.14	eV per atom
! calculated volume	81.9	Å³ per cell
&SYSTEM
  ibrav = 0, nat = 6, ntyp = 2
/
ATOMIC_SPECIES
C 12.01 C.upf
Zn 65.41 Zn.upf
CELL_PARAMETERS angstrom
0.000 3.447 3.447
3.447 0.000 3.447
3.447 3.447 0.000
ATOMIC_POSITIONS crystal
C 0.000 0.000 0.000
C 0.250 0.250 0.250
Zn 0.625 0.625 0.125
Zn 0.625 0.125 0.625
Zn 0.125 0.625 0.625
Zn 0.625 0.625 0.625

No. 4
! Zn2C (GGA-PBE, optimized geometry); values from VASP
! SG	Fd-3m, No. 227
! total energy	-3.35	eV per atom
! calculated volume	171.3	Å³ per cell
&SYSTEM
  ibrav = 0, nat = 6, ntyp = 2
/
ATOMIC_SPECIES
C 12.01 C.upf
Zn 65.41 Zn.upf
CELL_PARAMETERS angstrom
3.578 -1.100 4.985
4.807 3.758 1.276
-0.250 3.820 4.920
ATOMIC_POSITIONS crystal
C 0.250 0.250 0.250
C 0.500 0.500 0.500
Zn 0.375 0.375 0.375
Zn 0.875 0.375 0.375
Zn 0.375 0.875 0.375
Zn 0.375 0.375 0.875